No. 1
# Hf2IrCS

An optimized crystal structure of Hf2IrCS (PBE-GGA, Alexandria).

Uncorrected energy ... -7.030 eV/atom
Density ... 9021 kg/m3
DOS at the Fermi energy ... 3.7 states/eV per cell
Space group ... P4/mmm (123)

a = 5.0794 Å, b = 5.0794 Å, c = 4.2329 Å
α = 90.00°, β = 90.00°, γ = 90.00°
Positions (direct):
Hf 0.0000 0.5000 0.0000
Hf 0.5000 0.0000 0.0000
Ir 0.0000 0.0000 0.0000
C 0.5000 0.5000 0.5000
S 0.0000 0.0000 0.5000

---

No. 2
# LaFeP2

An optimized crystal structure of LaFeP2 (PBE-GGA, Alexandria).

Density ... 6138 kg/m3
Formation energy ... -0.246 eV/atom
Energy above the lowest structure with this stoichiometry ... 624 meV/atom
DOS at the Fermi energy ... 2.7 states/eV per cell
Space group ... P4mm (99)

a = 3.2765 Å, b = 3.2765 Å, c = 6.4689 Å
α = 90.00°, β = 90.00°, γ = 90.00°
Positions (direct):
La 0.0000 0.0000 0.0000
Fe 0.5000 0.5000 0.6291
P 0.0000 0.0000 0.5148
P 0.5000 0.5000 0.2886

---

No. 3
# AcPm5NdEr2

An optimized crystal structure of AcPm5NdEr2 (PBE-GGA, Alexandria).

Density ... 7364 kg/m3
Formation energy ... 0.146 eV/atom
DOS at the Fermi energy ... 21.9 states/eV per cell
Space group ... Cmc2_1 (36)

a = 12.4209 Å, b = 12.4209 Å, c = 9.5166 Å
α = 90.00°, β = 90.00°, γ = 153.93°
Positions (direct):
Ac 0.1023 0.8977 0.5000
Ac 0.8977 0.1023 0.0000
Pm 0.0248 0.9752 0.8267
Pm 0.1038 0.8962 0.1063
Pm 0.1888 0.8112 0.8014
Pm 0.2410 0.7590 0.4327
Pm 0.4923 0.5077 0.6068
Pm 0.5077 0.4923 0.1068
Pm 0.7590 0.2410 0.9327
Pm 0.8112 0.1888 0.3014
Pm 0.8962 0.1038 0.6063
Pm 0.9752 0.0248 0.3267
Nd 0.2639 0.7361 0.1090
Nd 0.7361 0.2639 0.6090
Er 0.3281 0.6719 0.7454
Er 0.3879 0.6121 0.3638
Er 0.6121 0.3879 0.8638
Er 0.6719 0.3281 0.2454

---

No. 4
# LiCaH3

An optimized crystal structure of LiCaH3 (PBE-GGA, Alexandria).

Uncorrected energy ... -2.874 eV/atom
Density ... 1245 kg/m3
DOS at the Fermi energy ... 0.4 states/eV per cell
Space group ... Cm (8)

a = 3.6128 Å, b = 3.6128 Å, c = 5.7102 Å
α = 99.64°, β = 99.64°, γ = 66.01°
Positions (direct):
Li 0.0000 0.0000 0.0000
Ca 0.5480 0.5480 0.5260
H 0.4373 0.4373 0.8938
H 0.5794 0.5794 0.9528
H 0.9272 0.9272 0.6679

---

No. 5
# Nd4Tl3Rh

An optimized crystal structure of Nd4Tl3Rh (PBE-GGA, Alexandria).

Density ... 9630 kg/m3
Formation energy ... -0.448 eV/atom
DOS at the Fermi energy ... 6.0 states/eV per cell
Space group ... P4/mmm (123)

a = 3.6533 Å, b = 3.6533 Å, c = 16.7047 Å
α = 90.00°, β = 90.00°, γ = 90.00°
Positions (direct):
Nd 0.0000 0.0000 0.1008
Nd 0.0000 0.0000 0.3679
Nd 0.0000 0.0000 0.6321
Nd 0.0000 0.0000 0.8992
Tl 0.5000 0.5000 0.2387
Tl 0.5000 0.5000 0.5000
Tl 0.5000 0.5000 0.7613
Rh 0.5000 0.5000 0.0000

---

No. 6
# Pr2MnAs3Rh4

An optimized crystal structure of Pr2MnAs3Rh4 (PBE-GGA, Alexandria).

Density ... 8768 kg/m3
Formation energy ... -0.826 eV/atom
DOS at the Fermi energy ... 5.9 states/eV per cell
Space group ... P-4m2 (115)

a = 4.2050 Å, b = 4.2050 Å, c = 10.4232 Å
α = 90.00°, β = 90.00°, γ = 90.00°
Positions (direct):
Pr 0.0000 0.5000 0.2484
Pr 0.5000 0.0000 0.7516
Mn 0.5000 0.5000 0.0000
As 0.0000 0.0000 0.0000
As 0.0000 0.5000 0.6360
As 0.5000 0.0000 0.3640
Rh 0.0000 0.0000 0.5000
Rh 0.0000 0.5000 0.8686
Rh 0.5000 0.0000 0.1314
Rh 0.5000 0.5000 0.5000

---

No. 7
# InTc2W

An optimized crystal structure of InTc2W (PBE-GGA, Alexandria).

Density ... 12362 kg/m3
Formation energy ... 0.429 eV/atom
DOS at the Fermi energy ... 4.5 states/eV per cell
Space group ... Cmm2 (35)

a = 2.8037 Å, b = 2.8037 Å, c = 9.2005 Å
α = 90.00°, β = 90.00°, γ = 113.26°
Positions (direct):
In 0.0000 0.0000 0.0000
Tc 0.0000 0.0000 0.4917
Tc 0.5000 0.5000 0.2610
W 0.5000 0.5000 0.7278

---

No. 8
# TbY2MgO

An optimized crystal structure of TbY2MgO (PBE-GGA, Alexandria).

Uncorrected energy ... -6.024 eV/atom
Density ... 5484 kg/m3
DOS at the Fermi energy ... 3.9 states/eV per cell
Space group ... P4/mmm (123)

a = 4.8502 Å, b = 4.8502 Å, c = 4.8527 Å
α = 90.00°, β = 90.00°, γ = 90.00°
Positions (direct):
Tb 0.0000 0.0000 0.0000
Y 0.0000 0.5000 0.5000
Y 0.5000 0.0000 0.5000
Mg 0.5000 0.5000 0.0000
O 0.0000 0.0000 0.5000